Run i
{"formula": "LiZn7Cu4", "functional": "PBE", "state": "relaxed", "lattice_angstrom": [[5.7682, -2.2022, 0.0000], [5.7682, 2.2022, 0.0000], [-5.3723, 0.0000, 7.0780]], "species": ["Li", "Zn", "Zn", "Zn", "Zn", "Zn", "Zn", "Zn", "Cu", "Cu", "Cu", "Cu"], "fractional_positions": [[0.0000, 0.0000, 0.0000], [0.0634, 0.0634, 0.3516], [0.2186, 0.2186, 0.8577], [0.3437, 0.3437, 0.4020], [0.5000, 0.5000, 0.0000], [0.6563, 0.6563, 0.5980], [0.7814, 0.7814, 0.1423], [0.9366, 0.9366, 0.6484], [0.3087, 0.3087, 0.6556], [0.4270, 0.4270, 0.2065], [0.5730, 0.5730, 0.7935], [0.6913, 0.6913, 0.3444]], "spacegroup": "No. 12", "dos_ef_per_ev_atom": 0.350}



Run ii
{"formula": "LiZn7Cu4", "functional": "PBE", "state": "relaxed", "lattice_angstrom": [[4.2152, 0.0000, 0.0000], [-2.1076, 3.6504, 0.0000], [0.0000, 0.0000, 10.4349]], "species": ["Li", "Zn", "Zn", "Zn", "Zn", "Zn", "Zn", "Zn", "Cu", "Cu", "Cu", "Cu"], "fractional_positions": [[0.0000, 0.0000, 0.0000], [0.0000, 0.0000, 0.2424], [0.0000, 0.0000, 0.5000], [0.0000, 0.0000, 0.7576], [0.3333, 0.6667, 0.6620], [0.3333, 0.6667, 0.9206], [0.6667, 0.3333, 0.0794], [0.6667, 0.3333, 0.3380], [0.3333, 0.6667, 0.1680], [0.3333, 0.6667, 0.4169], [0.6667, 0.3333, 0.5831], [0.6667, 0.3333, 0.8320]], "spacegroup": "No. 164", "dos_ef_per_ev_atom": 0.196}



Ranking the structures above by energy, run ii is first and the second is 0.129 eV/atom behind.